## 1
BaSiTe2I after structural relaxation, computed with PBE.

Cell: 5.4618 5.4618 5.7542 Å, 90.00 90.00 90.00°
Element x y z (fractional)
Ba (0.0000, 0.0000, 0.0000)
Si (0.5000, 0.5000, 0.5000)
Te (0.0000, 0.5000, 0.5000)
Te (0.5000, 0.0000, 0.5000)
I (0.5000, 0.5000, 0.0000)

Summary:
* SG: P4/mmm, No. 123
* density: 5.30 g cm⁻³


## 2
BaSiTe2I after structural relaxation, computed with PBE.

Cell: 6.5386 6.5386 6.4266 Å, 90.00 90.00 90.00°
Element x y z (fractional)
Ba (0.0000, 0.0000, 0.0000)
Si (0.5000, 0.5000, 0.5000)
Te (0.0000, 0.5000, 0.0000)
Te (0.5000, 0.0000, 0.0000)
I (0.0000, 0.0000, 0.5000)

Summary:
* SG: P4/mmm, No. 123
* density: 3.31 g cm⁻³


Stability summary: most stable 1, least stable 2.


## 1
Ba2SnI after structural relaxation, computed with PBE.

Cell: 10.1503 10.1503 10.1503 Å, 135.66 135.66 64.50°
Element x y z (fractional)
Ba (0.1032, 0.6250, 0.9782)
Ba (0.3750, 0.3532, 0.4782)
Ba (0.6468, 0.1250, 0.0218)
Ba (0.8750, 0.8968, 0.5218)
Sn (0.0000, 0.0000, 0.0000)
Sn (0.7500, 0.2500, 0.5000)
I (0.2500, 0.7500, 0.5000)
I (0.5000, 0.5000, 0.0000)

Summary:
* SG: I-42d, No. 122
* density: 3.43 g cm⁻³


## 2
Ba2SnI after structural relaxation, computed with PBE.

Cell: 9.7031 9.7031 9.7031 Å, 28.83 28.83 28.83°
Element x y z (fractional)
Ba (0.0000, 0.0000, 0.0000)
Ba (0.1826, 0.1826, 0.1826)
Sn (0.5913, 0.5913, 0.5913)
I (0.4225, 0.4225, 0.4225)

Summary:
* SG: R3m, No. 160
* density: 4.60 g cm⁻³


## 3
Ba2SnI after structural relaxation, computed with PBE.

Cell: 7.1936 7.1239 14.4493 Å, 90.00 107.92 90.00°
Element x y z (fractional)
Ba (0.0623, 0.2490, 0.1259)
Ba (0.0623, 0.7510, 0.6259)
Ba (0.4206, 0.2506, 0.8933)
Ba (0.4206, 0.7494, 0.3933)
Ba (0.5794, 0.2506, 0.6067)
Ba (0.5794, 0.7494, 0.1067)
Ba (0.9377, 0.2490, 0.3741)
Ba (0.9377, 0.7510, 0.8741)
Sn (0.4386, 0.2490, 0.3451)
Sn (0.4386, 0.7510, 0.8451)
Sn (0.5614, 0.2490, 0.1549)
Sn (0.5614, 0.7510, 0.6549)
I (0.0930, 0.2511, 0.6295)
I (0.0930, 0.7489, 0.1295)
I (0.9070, 0.2511, 0.8705)
I (0.9070, 0.7489, 0.3705)

Summary:
* SG: P2/c, No. 13
* density: 4.90 g cm⁻³


## 4
Ba2SnI after structural relaxation, computed with PBE.

Cell: 4.1715 4.1715 9.2951 Å, 90.00 90.00 90.00°
Element x y z (fractional)
Ba (0.0000, 0.0000, 0.2278)
Ba (0.0000, 0.0000, 0.7722)
Sn (0.5000, 0.5000, 0.0000)
I (0.5000, 0.5000, 0.5000)

Summary:
* SG: P4/mmm, No. 123
* density: 5.34 g cm⁻³


Stability summary: most stable 3, least stable 1.


## 1
BaSnI3 after structural relaxation, computed with PBE.

Cell: 6.6703 6.6703 6.6703 Å, 90.00 90.00 90.00°
Element x y z (fractional)
Ba (0.0000, 0.0000, 0.0000)
Sn (0.5000, 0.5000, 0.5000)
I (0.0000, 0.0000, 0.5000)
I (0.0000, 0.5000, 0.0000)
I (0.5000, 0.0000, 0.0000)

Summary:
* SG: Pm-3m, No. 221
* density: 3.56 g cm⁻³


## 2
BaSnI3 after structural relaxation, computed with PBE.

Cell: 6.2026 6.2026 6.2026 Å, 90.00 90.00 90.00°
Element x y z (fractional)
Ba (0.0000, 0.0000, 0.0000)
Sn (0.5000, 0.5000, 0.5000)
I (0.0000, 0.5000, 0.5000)
I (0.5000, 0.0000, 0.5000)
I (0.5000, 0.5000, 0.0000)

Summary:
* SG: Pm-3m, No. 221
* density: 4.43 g cm⁻³


Stability summary: most stable 2, least stable 1.


## 1
BaSnTe2I after structural relaxation, computed with PBE.

Cell: 6.1590 6.1590 5.7400 Å, 90.00 90.00 90.00°
Element x y z (fractional)
Ba (0.0000, 0.0000, 0.0000)
Sn (0.5000, 0.5000, 0.0000)
Te (0.0000, 0.5000, 0.5000)
Te (0.5000, 0.0000, 0.5000)
I (0.5000, 0.5000, 0.5000)

Summary:
* SG: P4/mmm, No. 123
* density: 4.87 g cm⁻³


## 2
BaSnTe2I after structural relaxation, computed with PBE.

Cell: 6.4610 6.4610 6.4096 Å, 90.00 90.00 90.00°
Element x y z (fractional)
Ba (0.0000, 0.0000, 0.0000)
Sn (0.5000, 0.5000, 0.5000)
Te (0.0000, 0.5000, 0.0000)
Te (0.5000, 0.0000, 0.0000)
I (0.0000, 0.0000, 0.5000)

Summary:
* SG: P4/mmm, No. 123
* density: 3.96 g cm⁻³


Stability summary: most stable 1, least stable 2.


## 1
Ba2Sr2I after structural relaxation, computed with PBE.

Cell: 9.1009 9.1009 6.9519 Å, 90.00 90.00 90.00°
Element x y z (fractional)
Ba (0.1568, 0.3432, 0.0000)
Ba (0.3432, 0.8432, 0.0000)
Ba (0.6568, 0.1568, 0.0000)
Ba (0.8432, 0.6568, 0.0000)
Sr (0.1566, 0.6566, 0.5000)
Sr (0.3434, 0.1566, 0.5000)
Sr (0.6566, 0.8434, 0.5000)
Sr (0.8434, 0.3434, 0.5000)
I (0.0000, 0.0000, 0.5000)
I (0.5000, 0.5000, 0.5000)

Summary:
* SG: P4/mbm, No. 127
* density: 3.33 g cm⁻³


## 2
Ba2Sr2I after structural relaxation, computed with PBE.

Cell: 9.2350 9.2350 7.0755 Å, 90.00 90.00 90.00°
Element x y z (fractional)
Ba (0.1587, 0.3413, 0.0000)
Ba (0.3413, 0.8413, 0.0000)
Ba (0.6587, 0.1587, 0.0000)
Ba (0.8413, 0.6587, 0.0000)
Sr (0.1546, 0.6546, 0.5000)
Sr (0.3454, 0.1546, 0.5000)
Sr (0.6546, 0.8454, 0.5000)
Sr (0.8454, 0.3454, 0.5000)
I (0.0000, 0.0000, 0.0000)
I (0.5000, 0.5000, 0.0000)

Summary:
* SG: P4/mbm, No. 127
* density: 3.17 g cm⁻³


Stability summary: most stable 2, least stable 1.


## 1
Ba2SrI2 after structural relaxation, computed with PBE.

Cell: 10.0309 10.0309 4.3880 Å, 90.00 90.00 90.00°
Element x y z (fractional)
Ba (0.1648, 0.3352, 0.0000)
Ba (0.3352, 0.8352, 0.0000)
Ba (0.6648, 0.1648, 0.0000)
Ba (0.8352, 0.6648, 0.0000)
Sr (0.0000, 0.0000, 0.5000)
Sr (0.5000, 0.5000, 0.5000)
I (0.1349, 0.6349, 0.5000)
I (0.3651, 0.1349, 0.5000)
I (0.6349, 0.8651, 0.5000)
I (0.8651, 0.3651, 0.5000)

Summary:
* SG: P4/mbm, No. 127
* density: 4.63 g cm⁻³


## 2
Ba2SrI2 after structural relaxation, computed with PBE.

Cell: 9.3847 9.3847 9.3847 Å, 143.68 143.68 52.30°
Element x y z (fractional)
Ba (0.1321, 0.1321, 0.0000)
Ba (0.8679, 0.8679, 0.0000)
Sr (0.5000, 0.5000, 0.0000)
I (0.2500, 0.7500, 0.5000)
I (0.7500, 0.2500, 0.5000)

Summary:
* SG: I4/mmm, No. 139
* density: 3.55 g cm⁻³


Stability summary: most stable 1, least stable 2.